5
Lattice="4.199 0.000 0.000 0.000 4.199 0.000 0.000 0.000 4.199" Properties=species:S:1:pos:R:3 comment="B3RuBr PBE relaxed" total_energy_ev_per_cell=-24.939 relative_energy_mev_per_atom=0 e_form_raw_mev_per_atom=1208 space_group="Pm-3m, No. 221" pbc="T T T"
B 0.000 0.000 2.100
B 0.000 2.100 0.000
B 2.100 0.000 0.000
Ru 0.000 0.000 0.000
Br 2.100 2.100 2.100

4
Lattice="1.647 0.951 7.616 -1.647 0.951 7.616 0.000 -1.902 7.616" Properties=species:S:1:pos:R:3 comment="BRuBr2 PBE relaxed" total_energy_ev_per_cell=-14.022 relative_energy_mev_per_atom=0 e_form_raw_mev_per_atom=1319 space_group="R-3m, No. 166" pbc="T T T"
B 0.000 0.000 0.000
Ru 0.000 0.000 11.424
Br 0.000 0.000 9.053
Br 0.000 0.000 13.796

8
Lattice="-2.948 2.948 5.060 2.948 -2.948 5.060 2.948 2.948 -5.060" Properties=species:S:1:pos:R:3 comment="BRuBr2 PBE relaxed" total_energy_ev_per_cell=-27.508 relative_energy_mev_per_atom=67 e_form_raw_mev_per_atom=1386 space_group="I-42d, No. 122" pbc="T T T"
B 0.000 0.000 0.000
B 0.000 2.948 2.530
Ru 2.948 0.000 2.530
Ru 0.000 0.000 5.060
Br 4.422 1.443 -1.265
Br 1.443 1.474 1.265
Br -1.474 1.504 3.795
Br 1.504 1.474 6.326

4
Lattice="1.679 0.970 8.016 -1.679 0.970 8.016 0.000 -1.939 8.016" Properties=species:S:1:pos:R:3 comment="BRuBr2 PBE relaxed" total_energy_ev_per_cell=-13.662 relative_energy_mev_per_atom=90 e_form_raw_mev_per_atom=1409 space_group="R-3m, No. 166" pbc="T T T"
B 0.000 0.000 0.000
Ru 0.000 0.000 12.025
Br 0.000 0.000 1.957
Br 0.000 0.000 22.092

5
Lattice="4.151 0.000 0.000 0.000 4.151 0.000 0.000 0.000 4.224" Properties=species:S:1:pos:R:3 comment="TcBRu2Br PBE relaxed" total_energy_ev_per_cell=-33.248 e_form_raw_mev_per_atom=804 space_group="P4/mmm, No. 123" pbc="T T T"
Tc 0.000 0.000 0.000
B 0.000 0.000 2.112
Ru 0.000 2.076 2.112
Ru 2.076 0.000 2.112
Br 2.076 2.076 0.000

5
Lattice="4.181 0.000 0.000 0.000 4.181 0.000 0.000 0.000 6.104" Properties=species:S:1:pos:R:3 comment="TlBRu2Br PBE relaxed" total_energy_ev_per_cell=-24.740 e_form_raw_mev_per_atom=906 space_group="P4/mmm, No. 123" pbc="T T T"
Tl 0.000 0.000 0.000
B 2.091 2.091 3.052
Ru 0.000 2.091 3.052
Ru 2.091 0.000 3.052
Br 2.091 2.091 0.000

5
Lattice="4.191 0.000 0.000 0.000 4.191 0.000 0.000 0.000 4.478" Properties=species:S:1:pos:R:3 comment="BRuW2Br PBE relaxed" total_energy_ev_per_cell=-35.933 e_form_raw_mev_per_atom=1520 space_group="P4/mmm, No. 123" pbc="T T T"
B 0.000 0.000 0.000
Ru 2.096 2.096 2.239
W 0.000 2.096 0.000
W 2.096 0.000 0.000
Br 0.000 0.000 2.239

5
Lattice="4.014 0.000 0.000 0.000 4.014 0.000 0.000 0.000 5.522" Properties=species:S:1:pos:R:3 comment="ZnB2RuBr PBE relaxed" total_energy_ev_per_cell=-21.353 e_form_raw_mev_per_atom=845 space_group="P4/mmm, No. 123" pbc="T T T"
Zn 0.000 0.000 0.000
B 0.000 2.007 2.761
B 2.007 0.000 2.761
Ru 2.007 2.007 2.761
Br 2.007 2.007 0.000

10
Lattice="-3.162 3.162 4.395 3.162 -3.162 4.395 3.162 3.162 -4.395" Properties=species:S:1:pos:R:3 comment="B2S2Br PBE relaxed" total_energy_ev_per_cell=-46.434 e_form_raw_mev_per_atom=13 space_group="I4_1md, No. 109" pbc="T T T"
B 0.000 2.036 0.000
B 0.000 4.288 0.000
B 2.036 3.162 2.198
B 1.126 0.000 6.593
S 3.162 -1.663 2.528
S 1.499 3.162 0.330
S 1.663 0.000 4.725
S 3.162 1.663 2.528
Br 0.000 0.000 1.090
Br 0.000 3.162 3.288

5
Lattice="3.999 0.000 0.000 0.000 3.999 0.000 0.000 0.000 3.999" Properties=species:S:1:pos:R:3 comment="B3SBr PBE relaxed" total_energy_ev_per_cell=-16.308 relative_energy_mev_per_atom=0 e_form_raw_mev_per_atom=1905 space_group="Pm-3m, No. 221" pbc="T T T"
B 0.000 0.000 1.999
B 0.000 1.999 0.000
B 1.999 0.000 0.000
S 0.000 0.000 0.000
Br 1.999 1.999 1.999

12
Lattice="6.823 0.000 0.000 0.000 3.111 0.000 0.000 0.000 13.775" Properties=species:S:1:pos:R:3 comment="BSBr PBE relaxed" total_energy_ev_per_cell=-49.014 relative_energy_mev_per_atom=575 e_form_raw_mev_per_atom=75 space_group="Pnma, No. 62" pbc="T T T"
B 0.975 0.778 0.354
B 2.436 2.333 7.242
B 4.387 0.778 6.533
B 5.848 2.333 13.421
S 0.836 2.333 12.792
S 2.575 0.778 5.904
S 4.247 2.333 7.871
S 5.987 0.778 0.983
Br 1.312 0.778 8.596
Br 2.100 2.333 1.708
Br 4.723 0.778 12.067
Br 5.511 2.333 5.179

6
Lattice="4.621 0.000 0.000 2.304 6.696 0.000 0.015 0.064 7.564" Properties=species:S:1:pos:R:3 comment="BSBr PBE relaxed" total_energy_ev_per_cell=-25.731 relative_energy_mev_per_atom=371 e_form_raw_mev_per_atom=-129 space_group="P-1, No. 2" pbc="T T T"
B 1.166 0.404 1.921
B 5.774 6.356 5.643
S 3.472 5.481 1.964
S 3.468 1.279 5.600
Br 1.163 2.237 1.871
Br 5.777 4.523 5.693

6
Lattice="4.597 0.000 0.000 1.513 6.754 0.000 2.153 0.374 6.808" Properties=species:S:1:pos:R:3 comment="BSBr PBE relaxed" total_energy_ev_per_cell=-27.512 relative_energy_mev_per_atom=74 e_form_raw_mev_per_atom=-426 space_group="P-1, No. 2" pbc="T T T"
B 2.159 2.787 2.711
B 6.104 4.341 4.097
S 2.262 2.735 4.536
S 6.000 4.393 2.272
Br 2.726 1.429 1.504
Br 5.536 5.699 5.304

36
Lattice="14.804 0.000 0.000 0.000 4.828 0.000 -8.313 0.000 17.360" Properties=species:S:1:pos:R:3 comment="BSBr PBE relaxed" total_energy_ev_per_cell=-167.743 relative_energy_mev_per_atom=0 e_form_raw_mev_per_atom=-500 space_group="P2_1/c, No. 14" pbc="T T T"
B 0.282 0.787 2.889
B -3.875 1.628 11.569
B -1.290 0.748 10.503
B 2.866 1.666 1.823
B -1.642 1.096 13.389
B 2.514 1.319 4.709
B 3.977 3.510 12.651
B 8.133 3.733 3.971
B 3.625 3.162 15.537
B 7.782 4.081 6.857
B 10.366 3.201 5.791
B 6.210 4.042 14.471
S 1.179 1.206 1.381
S -2.978 1.209 10.061
S 0.795 0.779 4.619
S -3.362 1.635 13.299
S -0.466 0.628 12.104
S 3.690 1.787 3.424
S 2.802 3.042 13.937
S 6.958 4.201 5.256
S 9.853 3.193 4.061
S 5.697 4.049 12.741
S 9.469 3.620 7.299
S 5.313 3.623 15.979
Br -2.612 2.653 6.088
Br -6.768 4.589 14.768
Br -0.177 0.290 8.993
Br 3.980 2.125 0.313
Br -0.932 1.010 15.184
Br 3.224 1.404 6.503
Br 3.267 3.424 10.857
Br 7.424 3.818 2.177
Br 2.512 2.704 17.047
Br 6.668 4.539 8.367
Br 13.260 0.239 2.593
Br 9.103 2.175 11.273

5
Lattice="4.243 0.000 0.000 0.000 4.243 0.000 0.000 0.000 4.243" Properties=species:S:1:pos:R:3 comment="B3SBr PBE relaxed" total_energy_ev_per_cell=-12.544 relative_energy_mev_per_atom=753 e_form_raw_mev_per_atom=2658 space_group="Pm-3m, No. 221" pbc="T T T"
B 0.000 0.000 2.122
B 0.000 2.122 0.000
B 2.122 0.000 0.000
S 2.122 2.122 2.122
Br 0.000 0.000 0.000

12
Lattice="-3.292 3.292 7.265 3.292 -3.292 7.265 3.292 3.292 -7.265" Properties=species:S:1:pos:R:3 comment="BS4Br PBE relaxed" total_energy_ev_per_cell=-48.333 e_form_raw_mev_per_atom=116 space_group="I4_1/amd, No. 141" pbc="T T T"
B 3.292 1.646 1.816
B 0.000 1.646 5.448
S 3.292 -0.090 1.004
S 3.292 3.202 -1.004
S 1.556 1.646 2.628
S 1.736 -1.646 9.893
S 1.556 4.939 -2.628
S 1.736 1.646 4.636
S 0.000 0.090 8.269
S 0.000 3.383 6.260
Br 3.292 -1.646 5.448
Br 0.000 4.939 1.816

5
Lattice="4.917 0.000 0.000 0.000 4.917 0.000 0.000 0.000 5.012" Properties=species:S:1:pos:R:3 comment="BSe2SBr PBE relaxed" total_energy_ev_per_cell=-12.830 relative_energy_mev_per_atom=364 e_form_raw_mev_per_atom=1323 space_group="P4/mmm, No. 123" pbc="T T T"
B 0.000 0.000 0.000
Se 0.000 2.459 2.506
Se 2.459 0.000 2.506
S 2.459 2.459 2.506
Br 2.459 2.459 0.000

5
Lattice="4.623 0.000 0.000 0.000 4.623 0.000 0.000 0.000 4.360" Properties=species:S:1:pos:R:3 comment="BSe2SBr PBE relaxed" total_energy_ev_per_cell=-14.648 relative_energy_mev_per_atom=0 e_form_raw_mev_per_atom=960 space_group="P4/mmm, No. 123" pbc="T T T"
B 0.000 0.000 0.000
Se 0.000 2.311 0.000
Se 2.311 0.000 0.000
S 2.311 2.311 2.180
Br 0.000 0.000 2.180

12
Lattice="3.444 -5.965 0.000 3.444 5.965 0.000 -2.297 0.000 7.281" Properties=species:S:1:pos:R:3 comment="Sm6B2SBr3 PBE relaxed" total_energy_ev_per_cell=-64.090 e_form_raw_mev_per_atom=-1106 space_group="C2/m, No. 12" pbc="T T T"
Sm -0.063 2.096 5.875
Sm 1.023 0.000 1.401
Sm -0.063 -2.096 5.875
Sm 4.654 2.096 1.406
Sm 3.568 0.000 5.880
Sm 4.654 -2.096 1.406
B 3.444 3.976 0.000
B 3.444 -3.976 0.000
S 3.444 0.000 0.000
Br -1.148 0.000 3.641
Br 2.295 1.974 3.641
Br 2.295 -1.974 3.641

12
Lattice="3.387 -5.866 0.000 3.387 5.866 0.000 -2.258 0.000 7.128" Properties=species:S:1:pos:R:3 comment="Tb6B2SBr3 PBE relaxed" total_energy_ev_per_cell=-63.603 e_form_raw_mev_per_atom=-1110 space_group="C2/m, No. 12" pbc="T T T"
Tb -0.067 2.070 5.772
Tb 0.997 0.000 1.351
Tb -0.067 -2.070 5.772
Tb 4.582 2.070 1.357
Tb 3.519 0.000 5.778
Tb 4.582 -2.070 1.357
B 3.387 3.910 0.000
B 3.387 -3.910 0.000
S 3.387 0.000 0.000
Br -1.129 0.000 3.564
Br 2.258 1.938 3.564
Br 2.258 -1.938 3.564

8
Lattice="-2.809 2.809 5.115 2.809 -2.809 5.115 2.809 2.809 -5.115" Properties=species:S:1:pos:R:3 comment="B2SbBr PBE relaxed" total_energy_ev_per_cell=-28.178 relative_energy_mev_per_atom=0 e_form_raw_mev_per_atom=1265 space_group="I-42d, No. 122" pbc="T T T"
B 4.214 1.204 -1.279
B 1.204 1.405 1.279
B -1.405 1.605 3.836
B 1.605 1.405 6.394
Sb 0.000 0.000 0.000
Sb 0.000 2.809 2.558
Br 2.809 0.000 2.558
Br 0.000 0.000 5.115

4
Lattice="0.000 3.216 3.216 3.216 0.000 3.216 3.216 3.216 0.000" Properties=species:S:1:pos:R:3 comment="B2SbBr PBE relaxed" total_energy_ev_per_cell=-11.864 relative_energy_mev_per_atom=556 e_form_raw_mev_per_atom=1821 space_group="Fm-3m, No. 225" pbc="T T T"
B 1.608 1.608 1.608
B 4.824 4.824 4.824
Sb 0.000 0.000 0.000
Br 3.216 3.216 3.216

5
Lattice="4.601 0.000 0.000 0.000 4.601 0.000 0.000 0.000 4.956" Properties=species:S:1:pos:R:3 comment="BSbSeBr2 PBE relaxed" total_energy_ev_per_cell=-14.840 relative_energy_mev_per_atom=0 e_form_raw_mev_per_atom=558 space_group="P4/mmm, No. 123" pbc="T T T"
B 0.000 0.000 0.000
Sb 2.301 2.301 2.478
Se 0.000 0.000 2.478
Br 0.000 2.301 0.000
Br 2.301 0.000 0.000

5
Lattice="5.567 0.000 0.000 0.000 5.567 0.000 0.000 0.000 5.428" Properties=species:S:1:pos:R:3 comment="BSbSeBr2 PBE relaxed" total_energy_ev_per_cell=-13.137 relative_energy_mev_per_atom=341 e_form_raw_mev_per_atom=899 space_group="P4/mmm, No. 123" pbc="T T T"
B 0.000 0.000 0.000
Sb 2.784 2.784 2.714
Se 2.784 2.784 0.000
Br 0.000 2.784 2.714
Br 2.784 0.000 2.714

5
Lattice="5.619 0.000 0.000 0.000 5.619 0.000 0.000 0.000 4.218" Properties=species:S:1:pos:R:3 comment="BSb2SeBr PBE relaxed" total_energy_ev_per_cell=-12.720 e_form_raw_mev_per_atom=1472 space_group="P4/mmm, No. 123" pbc="T T T"
B 0.000 0.000 0.000
Sb 0.000 2.809 2.109
Sb 2.809 0.000 2.109
Se 2.809 2.809 0.000
Br 0.000 0.000 2.109